{"formula": "Ho5Ge10Os4", "functional": "PBE-GGA", "state": "optimized geometry", "lattice": [[13.0717, 0.0000, 0.0000], [0.0000, 13.0717, 0.0000], [0.0000, 0.0000, 4.3029]], "species": ["Ge", "Ge", "Ge", "Ge", "Ge", "Ge", "Ge", "Ge", "Ge", "Ge", "Ge", "Ge", "Ge", "Ge", "Ge", "Ge", "Ge", "Ge", "Ge", "Ge", "Ho", "Ho", "Ho", "Ho", "Ho", "Ho", "Ho", "Ho", "Ho", "Ho", "Os", "Os", "Os", "Os", "Os", "Os", "Os", "Os"], "frac_coords": [[0.4324, 0.0676, 0.0000], [0.8017, 0.1645, 0.0000], [0.1645, 0.1983, 0.0000], [0.6645, 0.3017, 0.0000], [0.3017, 0.3355, 0.0000], [0.9324, 0.4324, 0.0000], [0.0676, 0.5676, 0.0000], [0.6983, 0.6645, 0.0000], [0.3355, 0.6983, 0.0000], [0.8355, 0.8017, 0.0000], [0.1983, 0.8355, 0.0000], [0.5676, 0.9324, 0.0000], [0.1577, 0.0078, 0.5000], [0.9922, 0.1577, 0.5000], [0.4922, 0.3423, 0.5000], [0.6577, 0.4922, 0.5000], [0.3423, 0.5078, 0.5000], [0.5078, 0.6577, 0.5000], [0.0078, 0.8423, 0.5000], [0.8423, 0.9922, 0.5000], [0.0000, 0.0000, 0.0000], [0.5000, 0.5000, 0.0000], [0.6173, 0.1173, 0.5000], [0.3278, 0.1722, 0.5000], [0.8278, 0.3278, 0.5000], [0.1173, 0.3827, 0.5000], [0.8827, 0.6173, 0.5000], [0.1722, 0.6722, 0.5000], [0.6722, 0.8278, 0.5000], [0.3827, 0.8827, 0.5000], [0.2474, 0.0184, 0.0000], [0.9816, 0.2474, 0.0000], [0.4816, 0.2526, 0.0000], [0.7474, 0.4816, 0.0000], [0.2526, 0.5184, 0.0000], [0.5184, 0.7474, 0.0000], [0.0184, 0.7526, 0.0000], [0.7526, 0.9816, 0.0000]], "crystal_system": "tetragonal", "sg": "P4/mbm (127)"}



{"formula": "PrHoGe4Os2", "functional": "PBE-GGA", "state": "optimized geometry", "lattice": [[4.5125, 0.0000, 0.0000], [0.0000, 4.4368, 0.0000], [-2.0430, 0.0000, 8.1558]], "species": ["Ge", "Ge", "Ge", "Ge", "Ho", "Os", "Os", "Pr"], "frac_coords": [[0.9597, 0.0000, 0.4120], [0.0434, 0.5000, 0.5889], [0.3180, 0.0000, 0.9951], [0.6751, 0.5000, 0.9991], [0.6135, 0.0000, 0.7145], [0.8827, 0.0000, 0.1148], [0.1093, 0.5000, 0.8810], [0.3983, 0.5000, 0.2946]], "crystal_system": "monoclinic", "sg": "Pm (6)"}



{"formula": "Ho2SiGeOs", "functional": "PBE-GGA", "state": "optimized geometry", "lattice": [[-4.1738, -2.4916, 3.0425], [-3.5772, -4.4341, -0.6541], [9.4560, -2.2482, 2.7076]], "species": ["Ge", "Ge", "Ho", "Ho", "Ho", "Ho", "Os", "Os", "Si", "Si"], "frac_coords": [[0.5125, 0.5125, 0.3747], [0.4875, 0.4875, 0.6253], [0.0067, 0.0067, 0.1741], [0.8145, 0.8145, 0.3839], [0.1855, 0.1855, 0.6161], [0.9933, 0.9933, 0.8259], [0.2666, 0.2666, 0.1244], [0.7334, 0.7334, 0.8756], [0.6434, 0.6434, 0.0599], [0.3566, 0.3566, 0.9401]], "crystal_system": "monoclinic", "sg": "C2/m (12)", "de_polymorph_mev_per_atom": 0}



{"formula": "Ho2SiGeOs", "functional": "PBE-GGA", "state": "optimized geometry", "lattice": [[0.1617, 0.4605, -5.7586], [-3.8557, 0.4883, -4.2772], [1.9613, 8.3038, 5.1637]], "species": ["Ge", "Ge", "Ho", "Ho", "Ho", "Ho", "Os", "Os", "Si", "Si"], "frac_coords": [[0.3576, 0.3576, 0.4372], [0.6424, 0.6424, 0.5628], [0.1829, 0.1829, 0.1093], [0.9941, 0.9941, 0.3199], [0.0059, 0.0059, 0.6801], [0.8171, 0.8171, 0.8907], [0.7261, 0.7261, 0.3651], [0.2739, 0.2739, 0.6349], [0.4968, 0.4968, 0.1239], [0.5032, 0.5032, 0.8761]], "crystal_system": "monoclinic", "sg": "C2/m (12)", "de_polymorph_mev_per_atom": 108}



{"formula": "HoTmSiGeOs", "functional": "PBE-GGA", "state": "optimized geometry", "lattice": [[-1.0122, 3.2108, 4.6119], [-4.3715, 3.0251, 2.0838], [-0.4461, -9.9504, 1.3238]], "species": ["Ge", "Ge", "Ho", "Ho", "Os", "Os", "Si", "Si", "Tm", "Tm"], "frac_coords": [[0.4857, 0.4857, 0.1240], [0.5143, 0.5143, 0.8760], [0.9926, 0.9926, 0.3252], [0.0074, 0.0074, 0.6748], [0.7329, 0.7329, 0.3746], [0.2671, 0.2671, 0.6254], [0.3569, 0.3569, 0.4401], [0.6431, 0.6431, 0.5599], [0.1848, 0.1848, 0.1167], [0.8152, 0.8152, 0.8833]], "crystal_system": "monoclinic", "sg": "C2/m (12)", "de_polymorph_mev_per_atom": 13}



{"formula": "HoTmSiGeOs", "functional": "PBE-GGA", "state": "optimized geometry", "lattice": [[-5.3689, 0.8183, 1.9316], [-4.7889, -3.1680, 0.5061], [6.9799, -1.4517, 6.8995]], "species": ["Ge", "Ge", "Ho", "Ho", "Os", "Os", "Si", "Si", "Tm", "Tm"], "frac_coords": [[0.3576, 0.3576, 0.4374], [0.6424, 0.6424, 0.5626], [0.9931, 0.9931, 0.3192], [0.0069, 0.0069, 0.6808], [0.7256, 0.7256, 0.3634], [0.2744, 0.2744, 0.6366], [0.4953, 0.4953, 0.1226], [0.5047, 0.5047, 0.8774], [0.1820, 0.1820, 0.1094], [0.8180, 0.8180, 0.8906]], "crystal_system": "monoclinic", "sg": "C2/m (12)", "de_polymorph_mev_per_atom": 121}



{"formula": "HoTmSiGeOs", "functional": "PBE-GGA", "state": "optimized geometry", "lattice": [[5.3262, -2.1382, 0.0000], [5.3262, 2.1382, 0.0000], [-4.6938, 0.0000, 8.7435]], "species": ["Ge", "Ge", "Ho", "Ho", "Os", "Os", "Si", "Si", "Tm", "Tm"], "frac_coords": [[0.3587, 0.3587, 0.4374], [0.6413, 0.6413, 0.5626], [0.1841, 0.1841, 0.1092], [0.8159, 0.8159, 0.8908], [0.7267, 0.7267, 0.3649], [0.2733, 0.2733, 0.6351], [0.4956, 0.4956, 0.1238], [0.5044, 0.5044, 0.8762], [0.9957, 0.9957, 0.3211], [0.0043, 0.0043, 0.6789]], "crystal_system": "monoclinic", "sg": "C2/m (12)", "de_polymorph_mev_per_atom": 114}



{"formula": "HoTmSiGeOs", "functional": "PBE-GGA", "state": "optimized geometry", "lattice": [[-5.5744, 1.1300, -0.0502], [-4.5284, -1.4159, 3.1372], [5.9083, 7.1804, 3.7964]], "species": ["Ge", "Ge", "Ho", "Ho", "Os", "Os", "Si", "Si", "Tm", "Tm"], "frac_coords": [[0.4858, 0.4858, 0.1256], [0.5142, 0.5142, 0.8744], [0.1863, 0.1863, 0.1167], [0.8137, 0.8137, 0.8833], [0.7341, 0.7341, 0.3756], [0.2659, 0.2659, 0.6244], [0.3584, 0.3584, 0.4407], [0.6416, 0.6416, 0.5593], [0.9950, 0.9950, 0.3276], [0.0050, 0.0050, 0.6724]], "crystal_system": "monoclinic", "sg": "C2/m (12)", "de_polymorph_mev_per_atom": 0}



{"formula": "SmHoGe2Os", "functional": "PBE-GGA", "state": "optimized geometry", "lattice": [[5.4210, -2.1610, 0.0000], [5.4210, 2.1610, 0.0000], [-4.8238, 0.0000, 9.0214]], "species": ["Ge", "Ge", "Ge", "Ge", "Ho", "Ho", "Os", "Os", "Sm", "Sm"], "frac_coords": [[0.6425, 0.6425, 0.0616], [0.5082, 0.5082, 0.3714], [0.4918, 0.4918, 0.6286], [0.3575, 0.3575, 0.9384], [0.0011, 0.0011, 0.1723], [0.9989, 0.9989, 0.8277], [0.2693, 0.2693, 0.1280], [0.7307, 0.7307, 0.8720], [0.8133, 0.8133, 0.3865], [0.1867, 0.1867, 0.6135]], "crystal_system": "monoclinic", "sg": "C2/m (12)"}



{"formula": "HoTmGe4Os2", "functional": "PBE-GGA", "state": "optimized geometry", "lattice": [[4.4288, 0.0000, 0.0000], [0.0000, 4.4524, 0.0000], [-2.1395, 0.0000, 7.9706]], "species": ["Ge", "Ge", "Ge", "Ge", "Ho", "Os", "Os", "Tm"], "frac_coords": [[0.6781, 0.0000, 0.0121], [0.9613, 0.5000, 0.4149], [0.0372, 0.0000, 0.5849], [0.3248, 0.5000, 0.9892], [0.6228, 0.5000, 0.7084], [0.8999, 0.5000, 0.1174], [0.1034, 0.0000, 0.8835], [0.3725, 0.0000, 0.2897]], "crystal_system": "monoclinic", "sg": "Pm (6)"}



{"formula": "HoTmGe2Os", "functional": "PBE-GGA", "state": "optimized geometry", "lattice": [[-2.3377, 4.4332, 2.8200], [-4.7194, 3.2423, -0.5344], [-1.3672, -9.0310, 4.1771]], "species": ["Ge", "Ge", "Ge", "Ge", "Ho", "Ho", "Os", "Os", "Tm", "Tm"], "frac_coords": [[0.6409, 0.6409, 0.0612], [0.5143, 0.5143, 0.3753], [0.4857, 0.4857, 0.6247], [0.3591, 0.3591, 0.9388], [0.8159, 0.8159, 0.3848], [0.1841, 0.1841, 0.6152], [0.2694, 0.2694, 0.1322], [0.7306, 0.7306, 0.8678], [0.0033, 0.0033, 0.1740], [0.9967, 0.9967, 0.8260]], "crystal_system": "monoclinic", "sg": "C2/m (12)", "de_polymorph_mev_per_atom": 0}



{"formula": "HoTmGe2Os", "functional": "PBE-GGA", "state": "optimized geometry", "lattice": [[5.3590, -2.1421, 0.0000], [5.3590, 2.1421, 0.0000], [-4.7260, 0.0000, 8.8619]], "species": ["Ge", "Ge", "Ge", "Ge", "Ho", "Ho", "Os", "Os", "Tm", "Tm"], "frac_coords": [[0.4854, 0.4854, 0.1232], [0.3578, 0.3578, 0.4381], [0.6422, 0.6422, 0.5619], [0.5146, 0.5146, 0.8768], [0.9957, 0.9957, 0.3244], [0.0043, 0.0043, 0.6756], [0.7301, 0.7301, 0.3667], [0.2699, 0.2699, 0.6333], [0.1830, 0.1830, 0.1153], [0.8170, 0.8170, 0.8847]], "crystal_system": "monoclinic", "sg": "C2/m (12)", "de_polymorph_mev_per_atom": 10}



Number 1: VASP energy -6.5437 eV/atom. Number 2: VASP energy -6.7578 eV/atom. Number 3: VASP energy -6.8917 eV/atom. Number 4: VASP energy -6.7833 eV/atom. Number 5: VASP energy -6.8679 eV/atom. Number 6: VASP energy -6.7602 eV/atom. Number 7: VASP energy -6.7667 eV/atom. Number 8: VASP energy -6.8808 eV/atom. Number 9: VASP energy -6.6365 eV/atom. Number 10: VASP energy -6.6734 eV/atom. Number 11: VASP energy -6.6049 eV/atom. Number 12: VASP energy -6.5953 eV/atom.